Entry 1:
Here is a geometry-optimized Y2Hf2Au structure from the Alexandria database. Energies are from PBE.

total energy	-7.2611	eV per atom
energy relative to the elements	-0.039	eV per atom
crystal system	tetragonal
DOS(E_F)	1.291	states/eV/atom

a = 7.186 Å, b = 7.186 Å, c = 5.008 Å
α = 90.00°, β = 90.00°, γ = 90.00°
Fractional positions:
1 Y 0.160 0.660 0.500
2 Y 0.660 0.840 0.500
3 Y 0.840 0.340 0.500
4 Y 0.340 0.160 0.500
5 Hf 0.355 0.855 0.000
6 Hf 0.855 0.645 0.000
7 Hf 0.645 0.145 0.000
8 Hf 0.145 0.355 0.000
9 Au 0.000 0.000 0.000
10 Au 0.500 0.500 0.000

Entry 2:
Here is a geometry-optimized YHfAu2 structure from the Alexandria database. Energies are from PBE.

total energy	-6.3630	eV per atom
energy relative to the elements	-0.620	eV per atom
crystal system	tetragonal
DOS(E_F)	1.111	states/eV/atom
excess energy over the best structure of this formula in the dataset	0.000	eV per atom

a = 3.466 Å, b = 3.466 Å, c = 7.175 Å
α = 90.00°, β = 90.00°, γ = 90.00°
Fractional positions:
1 Y 0.500 0.500 0.500
2 Hf 0.500 0.500 0.000
3 Au 0.000 0.000 0.782
4 Au 0.000 0.000 0.218

Entry 3:
Here is a geometry-optimized YHfAu2 structure from the Alexandria database. Energies are from PBE.

total energy	-6.3277	eV per atom
energy relative to the elements	-0.585	eV per atom
crystal system	trigonal
DOS(E_F)	0.832	states/eV/atom
excess energy over the best structure of this formula in the dataset	0.035	eV per atom

a = 4.744 Å, b = 4.744 Å, c = 5.336 Å
α = 63.61°, β = 63.61°, γ = 60.00°
Fractional positions:
1 Y 0.000 0.000 0.000
2 Hf 0.500 0.500 0.500
3 Au 0.778 0.778 0.667
4 Au 0.222 0.222 0.333

Entry 4:
Here is a geometry-optimized YHfAu2 structure from the Alexandria database. Energies are from PBE.

total energy	-5.9860	eV per atom
energy relative to the elements	-0.243	eV per atom
crystal system	tetragonal
DOS(E_F)	1.226	states/eV/atom
excess energy over the best structure of this formula in the dataset	0.377	eV per atom

a = 7.480 Å, b = 7.480 Å, c = 6.374 Å
α = 54.07°, β = 54.07°, γ = 90.00°
Fractional positions:
1 Y 0.500 0.500 0.000
2 Y 0.250 0.750 0.500
3 Hf 0.000 0.000 0.000
4 Hf 0.750 0.250 0.500
5 Au 0.650 0.125 0.250
6 Au 0.100 0.625 0.250
7 Au 0.375 0.350 0.750
8 Au 0.875 0.900 0.750